1.
A geometry-optimized Tb12YTh3 structure, computed with GGA-PBE.

Properties
The total energy is -5.233 eV/atom. The magnetic moment comes out at 0.0 μB per cell. The crystal system is tetragonal.

Unit cell a=5.045 b=5.045 c=20.098 alpha=90.00 beta=90.00 gamma=90.00
Positions (direct):
Tb (0.000, 0.000, 0.000)
Tb (0.000, 0.000, 0.250)
Tb (0.000, 0.000, 0.500)
Tb (0.000, 0.000, 0.750)
Tb (0.000, 0.500, 0.125)
Tb (0.000, 0.500, 0.373)
Tb (0.000, 0.500, 0.627)
Tb (0.000, 0.500, 0.875)
Tb (0.500, 0.000, 0.125)
Tb (0.500, 0.000, 0.373)
Tb (0.500, 0.000, 0.627)
Tb (0.500, 0.000, 0.875)
Y (0.500, 0.500, 0.500)
Th (0.500, 0.500, 0.000)
Th (0.500, 0.500, 0.249)
Th (0.500, 0.500, 0.751)

2.
A geometry-optimized TbY2Th3 structure, computed with GGA-PBE.

Properties
The total energy is -6.452 eV/atom. The magnetic moment comes out at 0.0 μB per cell. The crystal system is orthorhombic.

Unit cell a=7.642 b=7.642 c=6.733 alpha=90.00 beta=90.00 gamma=95.85
Positions (direct):
Tb (0.229, 0.771, 0.750)
Tb (0.771, 0.229, 0.250)
Y (0.103, 0.563, 0.250)
Y (0.437, 0.897, 0.250)
Y (0.563, 0.103, 0.750)
Y (0.897, 0.437, 0.750)
Th (0.166, 0.166, 0.000)
Th (0.166, 0.166, 0.500)
Th (0.500, 0.500, 0.000)
Th (0.500, 0.500, 0.500)
Th (0.834, 0.834, 0.000)
Th (0.834, 0.834, 0.500)

3.
A geometry-optimized Tb2Y4Th structure, computed with GGA-PBE.

Properties
Its energy above the most stable polymorph in this dataset is 1.45 kcal/mol of atoms. The total energy is -5.992 eV/atom. The magnetic moment comes out at 0.0 μB per cell. The crystal system is trigonal.

Unit cell a=21.002 b=21.002 c=21.002 alpha=9.73 beta=9.73 gamma=9.73
Positions (direct):
Tb (0.235, 0.235, 0.235)
Tb (0.765, 0.765, 0.765)
Y (0.143, 0.143, 0.143)
Y (0.289, 0.289, 0.289)
Y (0.711, 0.711, 0.711)
Y (0.857, 0.857, 0.857)
Th (0.000, 0.000, 0.000)

4.
A geometry-optimized Tb7YTh3 structure, computed with GGA-PBE.

Properties
The total energy is -5.404 eV/atom. The magnetic moment comes out at 0.0 μB per cell. The crystal system is triclinic.

Unit cell a=6.458 b=6.716 c=8.660 alpha=101.30 beta=97.36 gamma=96.84
Positions (direct):
Tb (0.000, 0.000, 0.000)
Tb (0.073, 0.715, 0.644)
Tb (0.207, 0.229, 0.704)
Tb (0.492, 0.732, 0.925)
Tb (0.508, 0.268, 0.075)
Tb (0.793, 0.771, 0.296)
Tb (0.927, 0.285, 0.356)
Y (0.000, 0.500, 0.000)
Th (0.324, 0.948, 0.335)
Th (0.500, 0.500, 0.500)
Th (0.676, 0.052, 0.665)